DFT (PBE) results for a geometry-optimized KRuCl2 structure.

CIF file:
```
data_KRuCl2
_chemical_formula_sum 'K4 Ru4 Cl8'
_space_group_name_H-M_alt 'F m -3 m'
_space_group_IT_number 225
_space_group_name_Hall '-F 4 2 3'
_cell_length_a 7.0608
_cell_length_b 7.0608
_cell_length_c 7.0608
_cell_angle_alpha 90.00
_cell_angle_beta 90.00
_cell_angle_gamma 90.00
loop_
_atom_site_label
_atom_site_type_symbol
_atom_site_fract_x
_atom_site_fract_y
_atom_site_fract_z
_atom_site_occupancy
K1 K 0.0000 0.0000 0.0000 1
Ru1 Ru 0.0000 0.0000 0.5000 1
Cl1 Cl 0.2500 0.2500 0.2500 1
```

Values from the calculation:
The value obtained for the total magnetization is 12.000 μB/cell. The value obtained for the formation energy without anion corrections is -0.202 eV/atom.



DFT (PBE) results for a geometry-optimized Y6Ag5Pd structure.

CIF file:
```
data_Y6Ag5Pd
_chemical_formula_sum 'Y6 Ag5 Pd1'
_space_group_name_H-M_alt 'P 1 2/m 1'
_space_group_IT_number 10
_space_group_name_Hall '-P 2y'
_cell_length_a 5.1175
_cell_length_b 7.2440
_cell_length_c 8.1083
_cell_angle_alpha 90.00
_cell_angle_beta 108.14
_cell_angle_gamma 90.00
loop_
_atom_site_label
_atom_site_type_symbol
_atom_site_fract_x
_atom_site_fract_y
_atom_site_fract_z
_atom_site_occupancy
Y1 Y 0.0000 0.2429 0.0000 1
Y2 Y 0.3373 0.2472 0.6743 1
Ag1 Ag 0.1674 0.5000 0.3352 1
Ag2 Ag 0.1713 0.0000 0.3430 1
Ag3 Ag 0.5000 0.5000 0.0000 1
Pd1 Pd 0.5000 0.0000 0.0000 1
```

Values from the calculation:
The value obtained for the total magnetization is 0.000 μB/cell. As for the energy of formation from the pure elements: -422 meV per atom.



DFT (PBE) results for a geometry-optimized SmHo2TmIn4 structure.

CIF file:
```
data_SmHo2TmIn4
_chemical_formula_sum 'Sm3 Ho6 Tm3 In12'
_space_group_name_H-M_alt 'R -3 m'
_space_group_IT_number 166
_space_group_name_Hall '-R 3 2"'
_cell_length_a 5.3122
_cell_length_b 5.3122
_cell_length_c 26.1278
_cell_angle_alpha 90.00
_cell_angle_beta 90.00
_cell_angle_gamma 120.00
loop_
_atom_site_label
_atom_site_type_symbol
_atom_site_fract_x
_atom_site_fract_y
_atom_site_fract_z
_atom_site_occupancy
Sm1 Sm 0.0000 0.0000 0.0000 1
Ho1 Ho 0.0000 0.0000 0.2493 1
Tm1 Tm 0.0000 0.0000 0.5000 1
In1 In 0.0000 0.0000 0.1263 1
In2 In 0.0000 0.0000 0.3763 1
```

Values from the calculation:
The value obtained for the total magnetization is 0.000 μB/cell. As for the energy of formation from the pure elements: -453 meV per atom.



DFT (PBE) results for a geometry-optimized ZnCoOs structure.

CIF file:
```
data_ZnCoOs
_chemical_formula_sum 'Zn1 Co1 Os1'
_space_group_name_H-M_alt 'P 3 m 1'
_space_group_IT_number 156
_space_group_name_Hall 'P 3 -2"'
_cell_length_a 2.6760
_cell_length_b 2.6760
_cell_length_c 6.3599
_cell_angle_alpha 90.00
_cell_angle_beta 90.00
_cell_angle_gamma 120.00
loop_
_atom_site_label
_atom_site_type_symbol
_atom_site_fract_x
_atom_site_fract_y
_atom_site_fract_z
_atom_site_occupancy
Zn1 Zn 0.0000 0.0000 0.0000 1
Co1 Co 0.6667 0.3333 0.3260 1
Os1 Os 0.3333 0.6667 0.6370 1
```

Values from the calculation:
The value obtained for the total magnetization is 0.943 μB/cell. As for the energy of formation from the pure elements: 119 meV per atom.



DFT (PBE) results for a geometry-optimized CsYCu2Br8 structure.

CIF file:
```
data_CsYCu2Br8
_chemical_formula_sum 'Cs2 Y2 Cu4 Br16'
_space_group_name_H-M_alt 'C 1 2/m 1'
_space_group_IT_number 12
_space_group_name_Hall '-C 2y'
_cell_length_a 10.6869
_cell_length_b 7.8085
_cell_length_c 10.7967
_cell_angle_alpha 90.00
_cell_angle_beta 94.29
_cell_angle_gamma 90.00
loop_
_atom_site_label
_atom_site_type_symbol
_atom_site_fract_x
_atom_site_fract_y
_atom_site_fract_z
_atom_site_occupancy
Cs1 Cs 0.0000 0.0000 0.0000 1
Y1 Y 0.0000 0.0000 0.5000 1
Cu1 Cu 0.1305 0.5000 0.2910 1
Br1 Br 0.0048 0.2400 0.6966 1
Br2 Br 0.1653 0.5000 0.0814 1
Br3 Br 0.2362 0.5000 0.4933 1
```

Values from the calculation:
The value obtained for the total magnetization is 4.277 μB/cell. The value obtained for the formation energy without anion corrections is -1.010 eV/atom.



DFT (PBE) results for a geometry-optimized Re3P2 structure.

CIF file:
```
data_Re3P2
_chemical_formula_sum 'Re9 P6'
_space_group_name_H-M_alt 'R -3 m'
_space_group_IT_number 166
_space_group_name_Hall '-R 3 2"'
_cell_length_a 2.8494
_cell_length_b 2.8494
_cell_length_c 29.5794
_cell_angle_alpha 90.00
_cell_angle_beta 90.00
_cell_angle_gamma 120.00
loop_
_atom_site_label
_atom_site_type_symbol
_atom_site_fract_x
_atom_site_fract_y
_atom_site_fract_z
_atom_site_occupancy
Re1 Re 0.0000 0.0000 0.0000 1
Re2 Re 0.0000 0.0000 0.2042 1
P1 P 0.0000 0.0000 0.3981 1
```

Values from the calculation:
The value obtained for the total magnetization is 0.000 μB/cell. As for the energy of formation from the pure elements: 60 meV per atom.



DFT (PBE) results for a geometry-optimized Mg2Sb structure.

CIF file:
```
data_Mg2Sb
_chemical_formula_sum 'Mg8 Sb4'
_space_group_name_H-M_alt 'I m m m'
_space_group_IT_number 71
_space_group_name_Hall '-I 2 2'
_cell_length_a 4.0285
_cell_length_b 5.9850
_cell_length_c 12.3840
_cell_angle_alpha 90.00
_cell_angle_beta 90.00
_cell_angle_gamma 90.00
loop_
_atom_site_label
_atom_site_type_symbol
_atom_site_fract_x
_atom_site_fract_y
_atom_site_fract_z
_atom_site_occupancy
Mg1 Mg 0.0000 0.0000 0.1764 1
Mg2 Mg 0.0000 0.2500 0.5000 1
Sb1 Sb 0.0000 0.5000 0.1487 1
```

Values from the calculation:
The value obtained for the total magnetization is 0.000 μB/cell. The value obtained for the formation energy without anion corrections is -0.200 eV/atom.



DFT (PBE) results for a geometry-optimized Cs2BrOF6 structure.

CIF file:
```
data_Cs2BrOF6
_chemical_formula_sum 'Cs4 Br2 O2 F12'
_space_group_name_H-M_alt 'I 4/m m m'
_space_group_IT_number 139
_space_group_name_Hall '-I 4 2'
_cell_length_a 6.3082
_cell_length_b 6.3082
_cell_length_c 9.6795
_cell_angle_alpha 90.00
_cell_angle_beta 90.00
_cell_angle_gamma 90.00
loop_
_atom_site_label
_atom_site_type_symbol
_atom_site_fract_x
_atom_site_fract_y
_atom_site_fract_z
_atom_site_occupancy
Cs1 Cs 0.0000 0.5000 0.2500 1
Br1 Br 0.0000 0.0000 0.0000 1
O1 O 0.0000 0.0000 0.5000 1
F1 F 0.0000 0.0000 0.1990 1
F2 F 0.2023 0.2023 0.5000 1
```

Values from the calculation:
The value obtained for the total magnetization is 2.000 μB/cell. The value obtained for the formation energy without anion corrections is -1.258 eV/atom.



Copy entry 8 word for word.
DFT (PBE) results for a geometry-optimized Cs2BrOF6 structure.

CIF file:
```
data_Cs2BrOF6
_chemical_formula_sum 'Cs4 Br2 O2 F12'
_space_group_name_H-M_alt 'I 4/m m m'
_space_group_IT_number 139
_space_group_name_Hall '-I 4 2'
_cell_length_a 6.3082
_cell_length_b 6.3082
_cell_length_c 9.6795
_cell_angle_alpha 90.00
_cell_angle_beta 90.00
_cell_angle_gamma 90.00
loop_
_atom_site_label
_atom_site_type_symbol
_atom_site_fract_x
_atom_site_fract_y
_atom_site_fract_z
_atom_site_occupancy
Cs1 Cs 0.0000 0.5000 0.2500 1
Br1 Br 0.0000 0.0000 0.0000 1
O1 O 0.0000 0.0000 0.5000 1
F1 F 0.0000 0.0000 0.1990 1
F2 F 0.2023 0.2023 0.5000 1
```

Values from the calculation:
The value obtained for the total magnetization is 2.000 μB/cell. The value obtained for the formation energy without anion corrections is -1.258 eV/atom.